(1)
This record from the Alexandria database describes a relaxed TaSnW crystal. The functional is GGA-PBE.

The space group is P-6m2 (No. 187) and the conventional cell measures 3.1276, 3.1276 and 13.4037 Å, with angles of 90.00, 90.00 and 120.00 degrees. The asymmetric unit holds Ta at (0.0000, 0.0000, 0.0000), Ta at (0.3333, 0.6667, 0.5000), Sn at (0.0000, 0.0000, 0.3259) and W at (0.3333, 0.6667, 0.1566).

Its formation energy is 0.41 eV per atom.



(2)
This record from the Alexandria database describes a relaxed BaLa2Tl crystal. The functional is GGA-PBE.

The space group is Pmmm (No. 47) and the conventional cell measures 3.8838, 4.6313 and 8.4824 Å, with angles of 90.00, 90.00 and 90.00 degrees. The asymmetric unit holds Ba at (0.0000, 0.0000, 0.0000), La at (0.5000, 0.5000, 0.3101) and Tl at (0.0000, 0.0000, 0.5000).

Its energy above the most stable polymorph in this dataset is 17 kJ/mol of formula units. Its formation energy is -0.10 eV per atom.



(3)
This record from the Alexandria database describes a relaxed NaZnAuO2 crystal. The functional is GGA-PBE.

The space group is P2/c (No. 13) and the conventional cell measures 5.5868, 5.1245 and 5.8707 Å, with angles of 90.00, 96.33 and 90.00 degrees. The asymmetric unit holds Na at (0.0000, 0.1430, 0.2500), Zn at (0.5000, 0.0237, 0.7500), Au at (0.5000, 0.5000, 0.0000) and O at (0.2889, 0.1595, 0.9895).

As for the uncorrected formation energy: -0.947 eV per atom.



(4)
This record from the Alexandria database describes a relaxed TaTiWAu crystal. The functional is GGA-PBE.

The space group is F-43m (No. 216) and the conventional cell measures 6.4805, 6.4805 and 6.4805 Å, with angles of 90.00, 90.00 and 90.00 degrees. The asymmetric unit holds Ta at (0.0000, 0.0000, 0.0000), Ti at (0.0000, 0.0000, 0.5000), W at (0.2500, 0.2500, 0.7500) and Au at (0.2500, 0.2500, 0.2500).

Its formation energy is -0.03 eV per atom.



(5)
This record from the Alexandria database describes a relaxed ZnCo2Cl crystal. The functional is GGA-PBE.

The space group is Imm2 (No. 44) and the conventional cell measures 2.8464, 4.0569 and 10.9728 Å, with angles of 90.00, 90.00 and 90.00 degrees. The asymmetric unit holds Zn at (0.0000, 0.0000, 0.0000), Co at (0.0000, 0.0000, 0.4554), Co at (0.0000, 0.5000, 0.1293) and Cl at (0.0000, 0.5000, 0.7728).

Its energy above the most stable polymorph in this dataset is 80 kJ/mol of formula units. As for the uncorrected formation energy: 0.284 eV per atom.



(6)
This record from the Alexandria database describes a relaxed Y3Al4Ga4 crystal. The functional is GGA-PBE.

The space group is Immm (No. 71) and the conventional cell measures 4.2239, 7.1586 and 14.6949 Å, with angles of 90.00, 90.00 and 90.00 degrees. The asymmetric unit holds Y at (0.0000, 0.0000, 0.0000), Y at (0.0000, 0.5000, 0.1256), Al at (0.0000, 0.3145, 0.3411), Ga at (0.0000, 0.0000, 0.2207) and Ga at (0.0000, 0.1800, 0.5000).

Its formation energy is -0.46 eV per atom.



In order of appearance, magnetic moment = 0.0; 0.0; 0.0; 0.0; 3.3; 0.0 μB/f.u..
In order of appearance, raw total energy = -9.20; -3.64; -4.10; -9.03; -4.05; -4.69 eV per atom.